(i)
Here is a geometry-optimized MgTl2 structure from Alexandria. Energies are from PBEsol.

Cell lengths 6.5345, 6.5345, 6.5345 Å; angles 148.32, 148.32, 45.41 degrees
Closest atoms and distances in Å follow each position.
Sites, in units of the cell vectors:
Mg 0.0000 0.0000 0.0000  8 Tl 3.16
Tl 0.3417 0.3417 0.0000  4 Mg 3.16, 4 Tl 3.35
Tl 0.6583 0.6583 0.0000  4 Mg 3.16, 4 Tl 3.35

***

(ii)
Here is a geometry-optimized MgTl2 structure from Alexandria. Energies are from PBEsol.

Cell lengths 5.8939, 5.8939, 5.8939 Å; angles 105.28, 105.28, 118.23 degrees
Closest atoms and distances in Å follow each position.
Sites, in units of the cell vectors:
Mg 0.2500 0.2500 0.0000  2 Mg 3.03, 8 Tl 3.09
Mg 0.7500 0.7500 0.0000  2 Mg 3.03, 8 Tl 3.09
Tl 0.1576 0.6576 0.8153  4 Mg 3.09, 1 Tl 3.19
Tl 0.3424 0.1576 0.5000  4 Mg 3.09, 1 Tl 3.19
Tl 0.6576 0.8424 0.5000  4 Mg 3.09, 1 Tl 3.19
Tl 0.8424 0.3424 0.1847  4 Mg 3.09, 1 Tl 3.19

***

(iii)
Here is a geometry-optimized MgTl2 structure from Alexandria. Energies are from PBEsol.

Cell lengths 5.0772, 5.0772, 3.2824 Å; angles 90.00, 90.00, 90.00 degrees
Closest atoms and distances in Å follow each position.
Sites, in units of the cell vectors:
Mg 0.0000 0.0000 0.0000  8 Tl 3.02, 2 Mg 3.28
Tl 0.0000 0.5000 0.5000  4 Mg 3.02, 2 Tl 3.28
Tl 0.5000 0.0000 0.5000  4 Mg 3.02, 2 Tl 3.28

***

(iv)
Here is a geometry-optimized MgTl2 structure from Alexandria. Energies are from PBEsol.

Cell lengths 5.3589, 5.3589, 6.2640 Å; angles 90.00, 90.00, 120.00 degrees
Closest atoms and distances in Å follow each position.
Sites, in units of the cell vectors:
Mg 0.3333 0.6667 0.2500  5 Tl 3.09-3.13
Mg 0.6667 0.3333 0.7500  5 Tl 3.09-3.13
Tl 0.0000 0.0000 0.0000  8 Tl 3.13-3.47, 6 Mg 3.47
Tl 0.0000 0.0000 0.5000  8 Tl 3.13-3.47, 6 Mg 3.47
Tl 0.3333 0.6667 0.7500  5 Mg 3.09-3.13
Tl 0.6667 0.3333 0.2500  5 Mg 3.09-3.13

***

Going by the computed energies, the most stable comes first: (i), (ii), (iv), (iii).

***

(i)
Here is a geometry-optimized Mg4Tl3 structure from Alexandria. Energies are from PBEsol.

Cell lengths 6.1382, 6.1382, 5.5655 Å; angles 90.00, 90.00, 120.00 degrees
Closest atoms and distances in Å follow each position.
Sites, in units of the cell vectors:
Mg 0.0000 0.0000 0.2459  2 Mg 2.74-2.83
Mg 0.0000 0.0000 0.7541  2 Mg 2.74-2.83
Mg 0.3333 0.6667 0.0000  6 Tl 3.30, 3 Mg 3.54
Mg 0.6667 0.3333 0.0000  6 Tl 3.30, 3 Mg 3.54
Tl 0.0000 0.5000 0.5000  4 Tl 3.07, 8 Mg 3.30-3.38
Tl 0.5000 0.0000 0.5000  4 Tl 3.07, 8 Mg 3.30-3.38
Tl 0.5000 0.5000 0.5000  4 Tl 3.07, 8 Mg 3.30-3.38

***

(ii)
Here is a geometry-optimized Mg4Tl3 structure from Alexandria. Energies are from PBEsol.

Cell lengths 11.3086, 11.3086, 11.3086 Å; angles 160.09, 160.09, 28.30 degrees
Closest atoms and distances in Å follow each position.
Sites, in units of the cell vectors:
Mg 0.0701 0.0701 0.0000  5 Tl 3.06-3.16, 5 Mg 3.07-3.21
Mg 0.3556 0.3556 0.0000  6 Tl 3.11-3.20, 4 Mg 3.21
Mg 0.6444 0.6444 0.0000  6 Tl 3.11-3.20, 4 Mg 3.21
Mg 0.9299 0.9299 0.0000  5 Tl 3.06-3.16, 5 Mg 3.07-3.21
Tl 0.2098 0.2098 0.0000  6 Mg 3.06-3.20, 4 Tl 3.28
Tl 0.5000 0.5000 0.0000  10 Mg 3.16-3.17
Tl 0.7902 0.7902 0.0000  6 Mg 3.06-3.20, 4 Tl 3.28

***

Going by the computed energies, the most stable comes first: (ii), (i).